The following is a GGA-PBE calculation of PCF3 after structural relaxation, from the Alexandria database.

Output
- raw formation energy (kJ/mol of formula units) = 127
- E above lowest polymorph (eV per atom) = 0.000

a = 4.0142 Å, b = 4.0142 Å, c = 4.0142 Å
α = 90.00°, β = 90.00°, γ = 90.00°
Positions (direct):
1 P 0.0000 0.0000 0.0000
2 C 0.5000 0.5000 0.5000
3 F 0.0000 0.0000 0.5000
4 F 0.0000 0.5000 0.0000
5 F 0.5000 0.0000 0.0000

The following is a GGA-PBE calculation of Ta5Cr4 after structural relaxation, from the Alexandria database.

Output
- ΔE_f (kJ per mole of atoms) = 13
- E above lowest polymorph (eV per atom) = 0.000

a = 6.8427 Å, b = 6.8427 Å, c = 6.8427 Å
α = 93.00°, β = 93.00°, γ = 153.56°
Positions (direct):
1 Ta 0.0000 0.0000 0.0000
2 Ta 0.3317 0.3317 0.6635
3 Ta 0.3317 0.6683 0.0000
4 Ta 0.6683 0.3317 0.0000
5 Ta 0.6683 0.6683 0.3365
6 Cr 0.0000 0.3508 0.3508
7 Cr 0.0000 0.6492 0.6492
8 Cr 0.3508 0.0000 0.3508
9 Cr 0.6492 0.0000 0.6492

The following is a GGA-PBE calculation of FeAs4I2 after structural relaxation, from the Alexandria database.

Output
- raw formation energy (kJ/mol of formula units) = 204

a = 9.8826 Å, b = 9.8826 Å, c = 9.8826 Å
α = 154.16°, β = 154.16°, γ = 36.87°
Positions (direct):
1 Fe 0.0000 0.0000 0.0000
2 As 0.0000 0.5000 0.5000
3 As 0.1297 0.1297 0.0000
4 As 0.5000 0.0000 0.5000
5 As 0.8703 0.8703 0.0000
6 I 0.3415 0.3415 0.0000
7 I 0.6585 0.6585 0.0000

The following is a GGA-PBE calculation of TcMo2Os after structural relaxation, from the Alexandria database.

Output
- ΔE_f (kJ per mole of atoms) = 14
- E above lowest polymorph (eV per atom) = 0.038

a = 2.7432 Å, b = 2.7432 Å, c = 8.1637 Å
α = 90.00°, β = 90.00°, γ = 90.00°
Positions (direct):
1 Tc 0.0000 0.0000 0.0000
2 Mo 0.0000 0.0000 0.5307
3 Mo 0.5000 0.5000 0.2595
4 Os 0.5000 0.5000 0.7776

The following is a GGA-PBE calculation of Tl17HgPb11 after structural relaxation, from the Alexandria database.

Output
- ΔE_f (kJ per mole of atoms) = 0

a = 10.6087 Å, b = 10.6087 Å, c = 10.6098 Å
α = 109.45°, β = 109.45°, γ = 109.35°
Positions (direct):
1 Tl 0.0000 0.0000 0.0000
2 Tl 0.0004 0.5934 0.3149
3 Tl 0.0006 0.3543 0.0011
4 Tl 0.0018 0.0018 0.3512
5 Tl 0.0066 0.3130 0.5970
6 Tl 0.2794 0.6880 0.6881
7 Tl 0.3130 0.0066 0.5970
8 Tl 0.3139 0.5927 0.0018
9 Tl 0.3543 0.0006 0.0011
10 Tl 0.4079 0.4079 0.7237
11 Tl 0.4114 0.7228 0.4107
12 Tl 0.5934 0.0004 0.3149
13 Tl 0.5927 0.3139 0.0018
14 Tl 0.6480 0.6480 0.6472
15 Tl 0.6880 0.2794 0.6881
16 Tl 0.6895 0.6895 0.2849
17 Tl 0.7228 0.4114 0.4107
18 Hg 0.1948 0.1948 0.8144
19 Pb 0.0058 0.8178 0.6309
20 Pb 0.1878 0.3780 0.3757
21 Pb 0.1930 0.8185 0.1931
22 Pb 0.3714 0.3714 0.1742
23 Pb 0.3780 0.1878 0.3757
24 Pb 0.6244 0.9994 0.8085
25 Pb 0.6273 0.8124 0.0019
26 Pb 0.8124 0.6273 0.0019
27 Pb 0.8178 0.0058 0.6309
28 Pb 0.8185 0.1930 0.1931
29 Pb 0.9994 0.6244 0.8085

The following is a GGA-PBE calculation of KBa2NbC after structural relaxation, from the Alexandria database.

Output
- ΔE_f (kJ per mole of atoms) = 201

a = 6.1107 Å, b = 6.1107 Å, c = 6.3804 Å
α = 90.00°, β = 90.00°, γ = 90.00°
Positions (direct):
1 K 0.0000 0.0000 0.0000
2 Ba 0.0000 0.5000 0.5000
3 Ba 0.5000 0.0000 0.5000
4 Nb 0.0000 0.0000 0.5000
5 C 0.5000 0.5000 0.0000

The following is a GGA-PBE calculation of Li2Ac3PaO8 after structural relaxation, from the Alexandria database.

Output
- raw formation energy (kJ/mol of formula units) = -3903

a = 5.8332 Å, b = 5.8332 Å, c = 7.4126 Å
α = 90.00°, β = 90.00°, γ = 120.00°
Positions (direct):
1 Li 0.3333 0.6667 0.1981
2 Li 0.6667 0.3333 0.8019
3 Ac 0.0000 0.0000 0.0000
4 Ac 0.3333 0.6667 0.6681
5 Ac 0.6667 0.3333 0.3319
6 Pa 0.0000 0.0000 0.5000
7 O 0.1634 0.3267 0.3126
8 O 0.1634 0.8366 0.3126
9 O 0.3267 0.1634 0.6874
10 O 0.3333 0.6667 0.9534
11 O 0.6667 0.3333 0.0466
12 O 0.6733 0.8366 0.3126
13 O 0.8366 0.1634 0.6874
14 O 0.8366 0.6733 0.6874

The following is a GGA-PBE calculation of TaTl2In after structural relaxation, from the Alexandria database.

Output
- ΔE_f (kJ per mole of atoms) = 54
- E above lowest polymorph (eV per atom) = 0.190

a = 5.5861 Å, b = 5.5861 Å, c = 3.1592 Å
α = 90.00°, β = 90.00°, γ = 110.46°
Positions (direct):
1 Ta 0.0000 0.0000 0.0000
2 Tl 0.0000 0.5000 0.5000
3 Tl 0.5000 0.0000 0.5000
4 In 0.5000 0.5000 0.0000

The following is a GGA-PBE calculation of DyTa4Ge2 after structural relaxation, from the Alexandria database.

Output
- ΔE_f (kJ per mole of atoms) = -31

a = 8.6543 Å, b = 8.6543 Å, c = 4.3226 Å
α = 90.00°, β = 90.00°, γ = 155.34°
Positions (direct):
1 Dy 0.0000 0.0000 0.0000
2 Ta 0.1837 0.8163 0.5000
3 Ta 0.3214 0.6786 0.0000
4 Ta 0.6786 0.3214 0.0000
5 Ta 0.8163 0.1837 0.5000
6 Ge 0.4272 0.5728 0.5000
7 Ge 0.5728 0.4272 0.5000

The following is a GGA-PBE calculation of Mn2Se2N after structural relaxation, from the Alexandria database.

Output
- raw formation energy (kJ/mol of formula units) = -33
- E above lowest polymorph (eV per atom) = 0.000

a = 6.1985 Å, b = 6.1985 Å, c = 6.1985 Å
α = 135.64°, β = 135.64°, γ = 64.54°
Positions (direct):
1 Mn 0.1609 0.1609 0.0000
2 Mn 0.8391 0.8391 0.0000
3 Se 0.2500 0.7500 0.5000
4 Se 0.7500 0.2500 0.5000
5 N 0.0000 0.0000 0.0000

The following is a GGA-PBE calculation of Pr2YIr after structural relaxation, from the Alexandria database.

Output
- ΔE_f (kJ per mole of atoms) = -2
- E above lowest polymorph (eV per atom) = 0.438

a = 10.9901 Å, b = 10.9901 Å, c = 10.9901 Å
α = 20.16°, β = 20.16°, γ = 20.16°
Positions (direct):
1 Pr 0.1118 0.1118 0.1118
2 Pr 0.8882 0.8882 0.8882
3 Y 0.0000 0.0000 0.0000
4 Ir 0.5000 0.5000 0.5000

The following is a GGA-PBE calculation of LaNd2Ho4Sc after structural relaxation, from the Alexandria database.

Output
- ΔE_f (kJ per mole of atoms) = 39

a = 9.4338 Å, b = 9.4338 Å, c = 6.7585 Å
α = 110.98°, β = 110.98°, γ = 88.15°
Positions (direct):
1 La 0.0000 0.5000 0.0000
2 La 0.5000 0.0000 0.5000
3 Nd 0.0000 0.0000 0.0000
4 Nd 0.0000 0.0000 0.5000
5 Nd 0.0000 0.5000 0.5000
6 Nd 0.5000 0.0000 0.0000
7 Ho 0.2641 0.7359 0.5012
8 Ho 0.2641 0.7359 0.9988
9 Ho 0.2650 0.2657 0.0166
10 Ho 0.2657 0.2650 0.5166
11 Ho 0.7343 0.7350 0.4834
12 Ho 0.7350 0.7343 0.9834
13 Ho 0.7359 0.2641 0.0012
14 Ho 0.7359 0.2641 0.4988
15 Sc 0.5000 0.5000 0.0000
16 Sc 0.5000 0.5000 0.5000

The following is a GGA-PBE calculation of TcAs2Ir after structural relaxation, from the Alexandria database.

Output
- ΔE_f (kJ per mole of atoms) = 36
- E above lowest polymorph (eV per atom) = 0.410

a = 2.9953 Å, b = 4.1325 Å, c = 5.1783 Å
α = 90.00°, β = 90.00°, γ = 90.00°
Positions (direct):
1 Tc 0.0000 0.0000 0.0000
2 As 0.0000 0.5000 0.5000
3 As 0.5000 0.5000 0.0000
4 Ir 0.5000 0.0000 0.5000

The following is a GGA-PBE calculation of In2Bi8Rh after structural relaxation, from the Alexandria database.

Output
- ΔE_f (kJ per mole of atoms) = 2

a = 8.1986 Å, b = 8.1986 Å, c = 6.3019 Å
α = 105.09°, β = 105.09°, γ = 65.03°
Positions (direct):
1 In 0.1302 0.1302 0.2534
2 In 0.8698 0.8698 0.7466
3 Bi 0.2088 0.2088 0.8313
4 Bi 0.2100 0.6848 0.2151
5 Bi 0.3152 0.7900 0.7849
6 Bi 0.3613 0.3613 0.5173
7 Bi 0.6387 0.6387 0.4827
8 Bi 0.6848 0.2100 0.2151
9 Bi 0.7900 0.3152 0.7849
10 Bi 0.7912 0.7912 0.1687
11 Rh 0.0000 0.0000 0.5000

The following is a GGA-PBE calculation of CrCdSnHg2 after structural relaxation, from the Alexandria database.

Output
- ΔE_f (kJ per mole of atoms) = 77

a = 5.0863 Å, b = 5.0863 Å, c = 5.1338 Å
α = 90.00°, β = 90.00°, γ = 90.00°
Positions (direct):
1 Cr 0.0000 0.0000 0.0000
2 Cd 0.0000 0.0000 0.5000
3 Sn 0.5000 0.5000 0.5000
4 Hg 0.0000 0.5000 0.0000
5 Hg 0.5000 0.0000 0.0000

The following is a GGA-PBE calculation of CaTeI5 after structural relaxation, from the Alexandria database.

Output
- raw formation energy (kJ/mol of formula units) = -465

a = 7.7373 Å, b = 7.7373 Å, c = 11.5452 Å
α = 104.44°, β = 104.44°, γ = 82.32°
Positions (direct):
1 Ca 0.0522 0.9478 0.7500
2 Ca 0.9478 0.0522 0.2500
3 Te 0.0000 0.5000 0.0000
4 Te 0.5000 0.0000 0.5000
5 I 0.1645 0.2352 0.5092
6 I 0.2117 0.6008 0.8479
7 I 0.2352 0.1645 0.0092
8 I 0.2528 0.7472 0.2500
9 I 0.3992 0.7883 0.6521
10 I 0.6008 0.2117 0.3479
11 I 0.7472 0.2528 0.7500
12 I 0.7648 0.8355 0.9908
13 I 0.7883 0.3992 0.1521
14 I 0.8355 0.7648 0.4908

The following is a GGA-PBE calculation of Ba3In2TcO8 after structural relaxation, from the Alexandria database.

Output
- raw formation energy (kJ/mol of formula units) = -2555

a = 5.9502 Å, b = 5.9502 Å, c = 7.7765 Å
α = 90.00°, β = 90.00°, γ = 120.00°
Positions (direct):
1 Ba 0.0000 0.0000 0.0000
2 Ba 0.3333 0.6667 0.6359
3 Ba 0.6667 0.3333 0.3641
4 In 0.3333 0.6667 0.2052
5 In 0.6667 0.3333 0.7948
6 Tc 0.0000 0.0000 0.5000
7 O 0.1570 0.3141 0.3386
8 O 0.1570 0.8430 0.3386
9 O 0.3141 0.1570 0.6614
10 O 0.3333 0.6667 0.9512
11 O 0.6667 0.3333 0.0488
12 O 0.6859 0.8430 0.3386
13 O 0.8430 0.1570 0.6614
14 O 0.8430 0.6859 0.6614

The following is a GGA-PBE calculation of BaTbGa after structural relaxation, from the Alexandria database.

Output
- ΔE_f (kJ per mole of atoms) = -22

a = 7.3519 Å, b = 7.3519 Å, c = 7.3519 Å
α = 149.49°, β = 149.49°, γ = 43.69°
Positions (direct):
1 Ba 0.0000 0.0000 0.0000
2 Tb 0.2660 0.2660 0.0000
3 Ga 0.6725 0.6725 0.0000

The following is a GGA-PBE calculation of CaFeMo2 after structural relaxation, from the Alexandria database.

Output
- ΔE_f (kJ per mole of atoms) = 68
- E above lowest polymorph (eV per atom) = 0.183

a = 5.3692 Å, b = 5.3692 Å, c = 5.3692 Å
α = 145.47°, β = 125.00°, γ = 66.59°
Positions (direct):
1 Ca 0.0000 0.0000 0.0000
2 Fe 0.2714 0.7714 0.5000
3 Mo 0.4994 0.4994 0.0000
4 Mo 0.7174 0.2174 0.5000

The following is a GGA-PBE calculation of ZrBrCl after structural relaxation, from the Alexandria database.

Output
- raw formation energy (kJ/mol of formula units) = -265

a = 4.6981 Å, b = 4.6981 Å, c = 4.6981 Å
α = 60.00°, β = 60.00°, γ = 60.00°
Positions (direct):
1 Zr 0.0000 0.0000 0.0000
2 Br 0.2500 0.2500 0.2500
3 Cl 0.7500 0.7500 0.7500

The following is a GGA-PBE calculation of La2ThMg after structural relaxation, from the Alexandria database.

Output
- ΔE_f (kJ per mole of atoms) = 12
- E above lowest polymorph (eV per atom) = 0.182

a = 5.7076 Å, b = 5.7076 Å, c = 5.7076 Å
α = 60.00°, β = 60.00°, γ = 60.00°
Positions (direct):
1 La 0.2500 0.2500 0.2500
2 La 0.7500 0.7500 0.7500
3 Th 0.0000 0.0000 0.0000
4 Mg 0.5000 0.5000 0.5000

The following is a GGA-PBE calculation of NbFeN3 after structural relaxation, from the Alexandria database.

Output
- raw formation energy (kJ/mol of formula units) = 435

a = 4.0276 Å, b = 4.0276 Å, c = 4.0276 Å
α = 90.00°, β = 90.00°, γ = 90.00°
Positions (direct):
1 Nb 0.0000 0.0000 0.0000
2 Fe 0.5000 0.5000 0.5000
3 N 0.0000 0.0000 0.5000
4 N 0.0000 0.5000 0.0000
5 N 0.5000 0.0000 0.0000

The following is a GGA-PBE calculation of ScNbOF2 after structural relaxation, from the Alexandria database.

Output
- raw formation energy (kJ/mol of formula units) = -916
- E above lowest polymorph (eV per atom) = 0.000

a = 4.1307 Å, b = 4.1307 Å, c = 4.1746 Å
α = 90.00°, β = 90.00°, γ = 90.00°
Positions (direct):
1 Sc 0.0000 0.0000 0.0000
2 Nb 0.5000 0.5000 0.5000
3 O 0.0000 0.0000 0.5000
4 F 0.0000 0.5000 0.0000
5 F 0.5000 0.0000 0.0000

The following is a GGA-PBE calculation of Ti3NbRu2 after structural relaxation, from the Alexandria database.

Output
- ΔE_f (kJ per mole of atoms) = -49

a = 3.0877 Å, b = 3.0877 Å, c = 9.8071 Å
α = 90.00°, β = 90.00°, γ = 90.00°
Positions (direct):
1 Ti 0.0000 0.0000 0.0000
2 Ti 0.0000 0.0000 0.3131
3 Ti 0.0000 0.0000 0.6869
4 Nb 0.5000 0.5000 0.5000
5 Ru 0.5000 0.5000 0.1576
6 Ru 0.5000 0.5000 0.8424

The following is a GGA-PBE calculation of BaAlPt2 after structural relaxation, from the Alexandria database.

Output
- ΔE_f (kJ per mole of atoms) = -60

a = 3.2902 Å, b = 3.2665 Å, c = 7.6139 Å
α = 90.00°, β = 90.13°, γ = 90.00°
Positions (direct):
1 Ba 0.0000 0.0000 0.0000
2 Al 0.0000 0.0000 0.5000
3 Pt 0.5003 0.5000 0.3187
4 Pt 0.4997 0.5000 0.6813